Record 1
YTc2Pt | GGA-PBEsol | optimized geometry

Output
**Space group**: I-4m2, No. 119
**Polymorph energy (0 for the lowest one)**: 0.647 eV/f.u.
**Energy relative to the elements**: -0.008 eV per atom
**Magnetization**: 0.01 μB per formula unit
**Energy**: -9.09 eV/atom

POSCAR file:
```
YTc2Pt
1.0
-2.103 2.103 3.728
2.103 -2.103 3.728
2.103 2.103 -3.728
Y Tc Pt
1 2 1
direct
0.000 0.000 0.000 Y
0.250 0.750 0.500 Tc
0.500 0.500 0.000 Tc
0.750 0.250 0.500 Pt
```

***

Record 2
ZnTcPt | GGA-PBEsol | optimized geometry

Output
**Space group**: Imm2, No. 44
**Energy relative to the elements**: -0.051 eV per atom
**Magnetization**: 0.00 μB per formula unit
**Energy**: -6.65 eV/atom

POSCAR file:
```
ZnTcPt
1.0
-1.339 1.940 4.042
1.339 -1.940 4.042
1.339 1.940 -4.042
Zn Tc Pt
1 1 1
direct
0.000 0.000 0.000 Zn
0.334 0.334 0.000 Tc
0.666 0.666 0.000 Pt
```

***

Record 3
ZnTcPt2 | GGA-PBEsol | optimized geometry

Output
**Space group**: Cmmm, No. 65
**Energy relative to the elements**: -0.233 eV per atom
**Magnetization**: 0.00 μB per formula unit
**Energy**: -6.93 eV/atom

POSCAR file:
```
ZnTcPt2
1.0
2.705 -3.888 0.000
2.705 3.888 0.000
0.000 0.000 2.702
Zn Tc Pt
1 1 2
direct
0.000 0.000 0.000 Zn
0.500 0.500 0.000 Tc
0.000 0.500 0.500 Pt
0.500 0.000 0.500 Pt
```

***

Record 4
ZnTcPt2 | GGA-PBEsol | optimized geometry

Output
**Space group**: I4/mmm, No. 139
**Energy relative to the elements**: -0.133 eV per atom
**Magnetization**: 0.70 μB per formula unit
**Energy**: -6.83 eV/atom

POSCAR file:
```
ZnTcPt2
1.0
-1.912 1.912 3.893
1.912 -1.912 3.893
1.912 1.912 -3.893
Zn Tc Pt
1 1 2
direct
0.000 0.000 0.000 Zn
0.500 0.500 0.000 Tc
0.250 0.750 0.500 Pt
0.750 0.250 0.500 Pt
```